1.
{
  "formula": "IrSe3Br",
  "functional": "GGA-PBE",
  "state": "relaxed",
  "space_group": "Pm-3m (221)",
  "dos_ef_per_ev_cell": 5.98,
  "e_form_raw_mev_per_atom": 1759,
  "relative_energy_mev_per_atom": 1235,
  "lattice_angstrom": [[5.0633, 0.0000, 0.0000], [0.0000, 5.0633, 0.0000], [0.0000, 0.0000, 5.0633]],
  "species": ["Ir", "Se", "Se", "Se", "Br"],
  "fractional_positions": [[0.0000, 0.0000, 0.0000], [0.0000, 0.5000, 0.5000], [0.5000, 0.0000, 0.5000], [0.5000, 0.5000, 0.0000], [0.5000, 0.5000, 0.5000]]
}


2.
{
  "formula": "AlCuSnSe4",
  "functional": "GGA-PBE",
  "state": "relaxed",
  "space_group": "Imma (74)",
  "dos_ef_per_ev_cell": 4.48,
  "e_form_raw_mev_per_atom": -498,
  "relative_energy_mev_per_atom": 12,
  "lattice_angstrom": [[-3.8181, 3.8774, 5.4343], [3.8181, -3.8774, 5.4343], [3.8181, 3.8774, -5.4343]],
  "species": ["Al", "Al", "Cu", "Cu", "Sn", "Sn", "Se", "Se", "Se", "Se", "Se", "Se", "Se", "Se"],
  "fractional_positions": [[0.5000, 0.0000, 0.0000], [0.5000, 0.5000, 0.5000], [0.1169, 0.3669, 0.7500], [0.8831, 0.6331, 0.2500], [0.0000, 0.0000, 0.0000], [0.5000, 0.0000, 0.5000], [0.2602, 0.2624, 0.5021], [0.2602, 0.7581, 0.9979], [0.2715, 0.2505, 0.0210], [0.2706, 0.7495, 0.5210], [0.7294, 0.2505, 0.4790], [0.7285, 0.7495, 0.9790], [0.7398, 0.2419, 0.0021], [0.7398, 0.7376, 0.4979]]
}


3.
{
  "formula": "BaLaYAu2",
  "functional": "GGA-PBE",
  "state": "relaxed",
  "space_group": "P4/mmm (123)",
  "dos_ef_per_ev_cell": 4.35,
  "relative_energy_mev_per_atom": 0,
  "lattice_angstrom": [[5.6727, 0.0000, 0.0000], [0.0000, 5.6727, 0.0000], [0.0000, 0.0000, 5.8523]],
  "species": ["Ba", "La", "Y", "Au", "Au"],
  "fractional_positions": [[0.0000, 0.0000, 0.0000], [0.5000, 0.5000, 0.5000], [0.0000, 0.0000, 0.5000], [0.0000, 0.5000, 0.0000], [0.5000, 0.0000, 0.0000]]
}


4.
{
  "formula": "BeVGe",
  "functional": "GGA-PBE",
  "state": "relaxed",
  "space_group": "P-6m2 (187)",
  "dos_ef_per_ev_cell": 2.90,
  "final_energy_ev_per_atom": -5.8436,
  "lattice_angstrom": [[3.9576, 0.0000, 0.0000], [-1.9788, 3.4274, 0.0000], [0.0000, 0.0000, 2.6936]],
  "species": ["Be", "V", "Ge"],
  "fractional_positions": [[0.0000, 0.0000, 0.0000], [0.3333, 0.6667, 0.5000], [0.6667, 0.3333, 0.0000]]
}


5.
{
  "formula": "Ta2GaPd9",
  "functional": "GGA-PBE",
  "state": "relaxed",
  "space_group": "P4/mmm (123)",
  "dos_ef_per_ev_cell": 6.82,
  "final_energy_ev_per_atom": -6.5847,
  "lattice_angstrom": [[3.9553, 0.0000, 0.0000], [0.0000, 3.9553, 0.0000], [0.0000, 0.0000, 11.8561]],
  "species": ["Ta", "Ta", "Ga", "Pd", "Pd", "Pd", "Pd", "Pd", "Pd", "Pd", "Pd", "Pd"],
  "fractional_positions": [[0.0000, 0.0000, 0.1729], [0.0000, 0.0000, 0.8271], [0.0000, 0.0000, 0.5000], [0.0000, 0.5000, 0.0000], [0.0000, 0.5000, 0.3303], [0.0000, 0.5000, 0.6697], [0.5000, 0.0000, 0.0000], [0.5000, 0.0000, 0.3303], [0.5000, 0.0000, 0.6697], [0.5000, 0.5000, 0.1645], [0.5000, 0.5000, 0.5000], [0.5000, 0.5000, 0.8355]]
}


6.
{
  "formula": "EuGaP2",
  "functional": "GGA-PBE",
  "state": "relaxed",
  "space_group": "R-3m (166)",
  "dos_ef_per_ev_cell": 7.30,
  "final_energy_ev_per_atom": -5.8599,
  "lattice_angstrom": [[3.5436, 0.0000, 0.0000], [-1.7718, 3.0689, 0.0000], [0.0000, 0.0000, 26.1980]],
  "species": ["Eu", "Eu", "Eu", "Ga", "Ga", "Ga", "P", "P", "P", "P", "P", "P"],
  "fractional_positions": [[0.0000, 0.0000, 0.0000], [0.3333, 0.6667, 0.6667], [0.6667, 0.3333, 0.3333], [0.0000, 0.0000, 0.5000], [0.3333, 0.6667, 0.1667], [0.6667, 0.3333, 0.8333], [0.0000, 0.0000, 0.1101], [0.0000, 0.0000, 0.8899], [0.3333, 0.6667, 0.5566], [0.3333, 0.6667, 0.7767], [0.6667, 0.3333, 0.2233], [0.6667, 0.3333, 0.4434]]
}


7.
{
  "formula": "KReAg2I8",
  "functional": "GGA-PBE",
  "state": "relaxed",
  "space_group": "P-1 (2)",
  "dos_ef_per_ev_cell": 6.37,
  "e_form_raw_mev_per_atom": -258,
  "lattice_angstrom": [[7.2977, 0.0000, 0.0000], [1.6362, 7.8268, 0.0000], [2.0032, 3.5945, 8.9087]],
  "species": ["K", "Re", "Ag", "Ag", "I", "I", "I", "I", "I", "I", "I", "I"],
  "fractional_positions": [[0.0000, 0.0000, 0.0000], [0.0000, 0.5000, 0.5000], [0.3904, 0.4896, 0.1545], [0.6096, 0.5104, 0.8455], [0.0414, 0.4787, 0.7806], [0.1258, 0.8325, 0.3778], [0.3637, 0.3292, 0.4701], [0.4970, 0.8160, 0.9363], [0.5030, 0.1840, 0.0637], [0.6363, 0.6708, 0.5299], [0.8742, 0.1675, 0.6222], [0.9586, 0.5213, 0.2194]]
}


8.
{
  "formula": "AsOsBr",
  "functional": "GGA-PBE",
  "state": "relaxed",
  "space_group": "Fmm2 (42)",
  "dos_ef_per_ev_cell": 6.14,
  "e_form_raw_mev_per_atom": 627,
  "relative_energy_mev_per_atom": 388,
  "lattice_angstrom": [[3.0799, 0.0000, 0.0000], [0.0000, 5.3920, 0.0000], [0.0000, 0.0000, 16.1955]],
  "species": ["As", "As", "As", "As", "Os", "Os", "Os", "Os", "Br", "Br", "Br", "Br"],
  "fractional_positions": [[0.0000, 0.0000, 0.0000], [0.0000, 0.5000, 0.5000], [0.5000, 0.0000, 0.5000], [0.5000, 0.5000, 0.0000], [0.0000, 0.0000, 0.6131], [0.0000, 0.5000, 0.1131], [0.5000, 0.0000, 0.1131], [0.5000, 0.5000, 0.6131], [0.0000, 0.0000, 0.2534], [0.0000, 0.5000, 0.7534], [0.5000, 0.0000, 0.7534], [0.5000, 0.5000, 0.2534]]
}


Please write out number 5 again, unchanged.
{
  "formula": "Ta2GaPd9",
  "functional": "GGA-PBE",
  "state": "relaxed",
  "space_group": "P4/mmm (123)",
  "dos_ef_per_ev_cell": 6.82,
  "final_energy_ev_per_atom": -6.5847,
  "lattice_angstrom": [[3.9553, 0.0000, 0.0000], [0.0000, 3.9553, 0.0000], [0.0000, 0.0000, 11.8561]],
  "species": ["Ta", "Ta", "Ga", "Pd", "Pd", "Pd", "Pd", "Pd", "Pd", "Pd", "Pd", "Pd"],
  "fractional_positions": [[0.0000, 0.0000, 0.1729], [0.0000, 0.0000, 0.8271], [0.0000, 0.0000, 0.5000], [0.0000, 0.5000, 0.0000], [0.0000, 0.5000, 0.3303], [0.0000, 0.5000, 0.6697], [0.5000, 0.0000, 0.0000], [0.5000, 0.0000, 0.3303], [0.5000, 0.0000, 0.6697], [0.5000, 0.5000, 0.1645], [0.5000, 0.5000, 0.5000], [0.5000, 0.5000, 0.8355]]
}